Record 1
DFT (PBE-GGA) results for a relaxed YScPSe crystal.

Values from the calculation:
- DOS at the Fermi energy (states/eV per cell) = 2.550
- VASP energy (eV per cell) = -28.3
- E_form (uncorrected) (eV per atom) = -1.656

Structure (CIF):
```
data_YScPSe
_cell_length_a 7.105
_cell_length_b 7.105
_cell_length_c 7.105
_cell_angle_alpha 31.55
_cell_angle_beta 31.55
_cell_angle_gamma 31.55
_symmetry_space_group_name_H-M 'P 1'
_symmetry_Int_Tables_number 1
loop_
_symmetry_equiv_pos_as_xyz
'x,y,z'
loop_
_atom_site_label
_atom_site_fract_x
_atom_site_fract_y
_atom_site_fract_z
Y1 0.000 0.000 0.000
Sc1 0.815 0.815 0.815
P1 0.415 0.415 0.415
Se1 0.236 0.236 0.236
```

Record 2
DFT (PBE-GGA) results for a relaxed Sc6ZnP2Se3 crystal.

Values from the calculation:
- DOS at the Fermi energy (states/eV per cell) = 5.593
- VASP energy (eV per cell) = -77.0
- E_form (uncorrected) (eV per atom) = -1.368

Structure (CIF):
```
data_Sc6ZnP2Se3
_cell_length_a 8.606
_cell_length_b 8.606
_cell_length_c 7.775
_cell_angle_alpha 103.80
_cell_angle_beta 103.80
_cell_angle_gamma 25.41
_symmetry_space_group_name_H-M 'P 1'
_symmetry_Int_Tables_number 1
loop_
_symmetry_equiv_pos_as_xyz
'x,y,z'
loop_
_atom_site_label
_atom_site_fract_x
_atom_site_fract_y
_atom_site_fract_z
Sc1 0.004 0.004 0.255
Sc2 0.327 0.327 0.430
Sc3 0.333 0.333 0.902
Sc4 0.667 0.667 0.098
Sc5 0.673 0.673 0.570
Sc6 0.996 0.996 0.745
Zn1 0.500 0.500 0.000
P1 0.166 0.166 0.333
P2 0.834 0.834 0.667
Se1 0.167 0.167 0.831
Se2 0.500 0.500 0.500
Se3 0.833 0.833 0.169
```

Record 3
DFT (PBE-GGA) results for a relaxed ScZn2PSe crystal.

Values from the calculation:
- DOS at the Fermi energy (states/eV per cell) = 3.422
- VASP energy (eV per cell) = -19.1
- E_form (uncorrected) (eV per atom) = -0.270

Structure (CIF):
```
data_ScZn2PSe
_cell_length_a 4.565
_cell_length_b 4.565
_cell_length_c 5.109
_cell_angle_alpha 90.00
_cell_angle_beta 90.00
_cell_angle_gamma 90.00
_symmetry_space_group_name_H-M 'P 1'
_symmetry_Int_Tables_number 1
loop_
_symmetry_equiv_pos_as_xyz
'x,y,z'
loop_
_atom_site_label
_atom_site_fract_x
_atom_site_fract_y
_atom_site_fract_z
Sc1 0.000 0.000 0.000
Zn1 0.000 0.500 0.500
Zn2 0.500 0.000 0.500
P1 0.000 0.000 0.500
Se1 0.500 0.500 0.000
```

Record 4
DFT (PBE-GGA) results for a relaxed ScSi2P crystal.

Values from the calculation:
- DOS at the Fermi energy (states/eV per cell) = 1.435
- VASP energy (eV per cell) = -24.1
- E_form (uncorrected) (eV per atom) = -0.375

Structure (CIF):
```
data_ScSi2P
_cell_length_a 3.555
_cell_length_b 3.599
_cell_length_c 5.706
_cell_angle_alpha 90.00
_cell_angle_beta 90.00
_cell_angle_gamma 90.00
_symmetry_space_group_name_H-M 'P 1'
_symmetry_Int_Tables_number 1
loop_
_symmetry_equiv_pos_as_xyz
'x,y,z'
loop_
_atom_site_label
_atom_site_fract_x
_atom_site_fract_y
_atom_site_fract_z
Sc1 0.000 0.000 0.000
Si1 0.000 0.000 0.503
Si2 0.500 0.500 0.650
P1 0.500 0.500 0.055
```

Record 5
DFT (PBE-GGA) results for a relaxed ScSi2P crystal.

Values from the calculation:
- DOS at the Fermi energy (states/eV per cell) = 1.515
- VASP energy (eV per cell) = -23.1
- E_form (uncorrected) (eV per atom) = -0.137

Structure (CIF):
```
data_ScSi2P
_cell_length_a 4.884
_cell_length_b 4.884
_cell_length_c 4.884
_cell_angle_alpha 131.66
_cell_angle_beta 131.66
_cell_angle_gamma 70.76
_symmetry_space_group_name_H-M 'P 1'
_symmetry_Int_Tables_number 1
loop_
_symmetry_equiv_pos_as_xyz
'x,y,z'
loop_
_atom_site_label
_atom_site_fract_x
_atom_site_fract_y
_atom_site_fract_z
Sc1 0.000 0.000 0.000
Si1 0.250 0.750 0.500
Si2 0.500 0.500 0.000
P1 0.750 0.250 0.500
```

Record 6
DFT (PBE-GGA) results for a relaxed ScSiP3 crystal.

Values from the calculation:
- DOS at the Fermi energy (states/eV per cell) = 3.837
- polymorph energy (0 for the lowest one) (kcal/mol of atoms) = 12.95
- VASP energy (eV per cell) = -24.1
- E_form (uncorrected) (eV per atom) = 0.768

Structure (CIF):
```
data_ScSiP3
_cell_length_a 4.885
_cell_length_b 4.885
_cell_length_c 4.885
_cell_angle_alpha 90.00
_cell_angle_beta 90.00
_cell_angle_gamma 90.00
_symmetry_space_group_name_H-M 'P 1'
_symmetry_Int_Tables_number 1
loop_
_symmetry_equiv_pos_as_xyz
'x,y,z'
loop_
_atom_site_label
_atom_site_fract_x
_atom_site_fract_y
_atom_site_fract_z
Sc1 0.000 0.000 0.000
Si1 0.500 0.500 0.500
P1 0.000 0.000 0.500
P2 0.000 0.500 0.000
P3 0.500 0.000 0.000
```

Record 7
DFT (PBE-GGA) results for a relaxed ScSi2P crystal.

Values from the calculation:
- DOS at the Fermi energy (states/eV per cell) = 4.884
- VASP energy (eV per cell) = -46.2
- E_form (uncorrected) (eV per atom) = -0.129

Structure (CIF):
```
data_ScSi2P
_cell_length_a 5.740
_cell_length_b 5.740
_cell_length_c 5.740
_cell_angle_alpha 101.75
_cell_angle_beta 101.75
_cell_angle_gamma 126.36
_symmetry_space_group_name_H-M 'P 1'
_symmetry_Int_Tables_number 1
loop_
_symmetry_equiv_pos_as_xyz
'x,y,z'
loop_
_atom_site_label
_atom_site_fract_x
_atom_site_fract_y
_atom_site_fract_z
Sc1 0.000 0.000 0.000
Sc2 0.750 0.250 0.500
Si1 0.164 0.625 0.039
Si2 0.375 0.414 0.539
Si3 0.586 0.125 0.961
Si4 0.875 0.836 0.461
P1 0.250 0.750 0.500
P2 0.500 0.500 0.000
```

Record 8
DFT (PBE-GGA) results for a relaxed Sc2Si2P crystal.

Values from the calculation:
- DOS at the Fermi energy (states/eV per cell) = 3.813
- polymorph energy (0 for the lowest one) (kcal/mol of atoms) = 2.36
- VASP energy (eV per cell) = -63.8
- E_form (uncorrected) (eV per atom) = -0.599

Structure (CIF):
```
data_Sc2Si2P
_cell_length_a 6.930
_cell_length_b 6.930
_cell_length_c 3.954
_cell_angle_alpha 90.00
_cell_angle_beta 90.00
_cell_angle_gamma 90.00
_symmetry_space_group_name_H-M 'P 1'
_symmetry_Int_Tables_number 1
loop_
_symmetry_equiv_pos_as_xyz
'x,y,z'
loop_
_atom_site_label
_atom_site_fract_x
_atom_site_fract_y
_atom_site_fract_z
Sc1 0.181 0.319 0.000
Sc2 0.319 0.819 0.000
Sc3 0.681 0.181 0.000
Sc4 0.819 0.681 0.000
Si1 0.117 0.617 0.500
Si2 0.383 0.117 0.500
Si3 0.617 0.883 0.500
Si4 0.883 0.383 0.500
P1 0.000 0.000 0.000
P2 0.500 0.500 0.000
```

Record 9
DFT (PBE-GGA) results for a relaxed ScSiP3 crystal.

Values from the calculation:
- DOS at the Fermi energy (states/eV per cell) = 3.241
- polymorph energy (0 for the lowest one) (kcal/mol of atoms) = 0.00
- VASP energy (eV per cell) = -27.0
- E_form (uncorrected) (eV per atom) = 0.207

Structure (CIF):
```
data_ScSiP3
_cell_length_a 4.521
_cell_length_b 4.521
_cell_length_c 4.521
_cell_angle_alpha 90.00
_cell_angle_beta 90.00
_cell_angle_gamma 90.00
_symmetry_space_group_name_H-M 'P 1'
_symmetry_Int_Tables_number 1
loop_
_symmetry_equiv_pos_as_xyz
'x,y,z'
loop_
_atom_site_label
_atom_site_fract_x
_atom_site_fract_y
_atom_site_fract_z
Sc1 0.000 0.000 0.000
Si1 0.500 0.500 0.500
P1 0.000 0.500 0.500
P2 0.500 0.000 0.500
P3 0.500 0.500 0.000
```

Record 10
DFT (PBE-GGA) results for a relaxed ScSi2P crystal.

Values from the calculation:
- DOS at the Fermi energy (states/eV per cell) = 1.811
- VASP energy (eV per cell) = -23.5
- E_form (uncorrected) (eV per atom) = -0.232

Structure (CIF):
```
data_ScSi2P
_cell_length_a 7.063
_cell_length_b 7.063
_cell_length_c 7.063
_cell_angle_alpha 28.21
_cell_angle_beta 28.21
_cell_angle_gamma 28.21
_symmetry_space_group_name_H-M 'P 1'
_symmetry_Int_Tables_number 1
loop_
_symmetry_equiv_pos_as_xyz
'x,y,z'
loop_
_atom_site_label
_atom_site_fract_x
_atom_site_fract_y
_atom_site_fract_z
Sc1 0.000 0.000 0.000
Si1 0.510 0.510 0.510
Si2 0.766 0.766 0.766
P1 0.245 0.245 0.245
```

Record 11
DFT (PBE-GGA) results for a relaxed ScSi2P crystal.

Values from the calculation:
- DOS at the Fermi energy (states/eV per cell) = 1.539
- VASP energy (eV per cell) = -23.9
- E_form (uncorrected) (eV per atom) = -0.322

Structure (CIF):
```
data_ScSi2P
_cell_length_a 5.383
_cell_length_b 5.383
_cell_length_c 3.658
_cell_angle_alpha 106.91
_cell_angle_beta 106.91
_cell_angle_gamma 39.83
_symmetry_space_group_name_H-M 'P 1'
_symmetry_Int_Tables_number 1
loop_
_symmetry_equiv_pos_as_xyz
'x,y,z'
loop_
_atom_site_label
_atom_site_fract_x
_atom_site_fract_y
_atom_site_fract_z
Sc1 0.000 0.000 0.000
Si1 0.252 0.252 0.750
Si2 0.748 0.748 0.250
P1 0.500 0.500 0.500
```

Record 12
DFT (PBE-GGA) results for a relaxed Sc2Si2P crystal.

Values from the calculation:
- DOS at the Fermi energy (states/eV per cell) = 2.265
- polymorph energy (0 for the lowest one) (kcal/mol of atoms) = 0.00
- VASP energy (eV per cell) = -32.4
- E_form (uncorrected) (eV per atom) = -0.701

Structure (CIF):
```
data_Sc2Si2P
_cell_length_a 7.792
_cell_length_b 7.792
_cell_length_c 7.792
_cell_angle_alpha 154.30
_cell_angle_beta 154.30
_cell_angle_gamma 36.66
_symmetry_space_group_name_H-M 'P 1'
_symmetry_Int_Tables_number 1
loop_
_symmetry_equiv_pos_as_xyz
'x,y,z'
loop_
_atom_site_label
_atom_site_fract_x
_atom_site_fract_y
_atom_site_fract_z
Sc1 0.099 0.099 0.000
Sc2 0.901 0.901 0.000
Si1 0.250 0.750 0.500
Si2 0.750 0.250 0.500
P1 0.500 0.500 0.000
```